First-principles (PBE+U) data for MnCrO2 after structural relaxation, as listed in Alexandria via LeMat-Bulk.

Unit cell a=4.6425 b=4.6425 c=9.7392 alpha=90.00 beta=90.00 gamma=90.00
Space group I-42d (No. 122)
One atom of each set of equivalent atoms:
Mn 0.0000 0.0000 0.0000
Cr 0.0000 0.0000 0.5000
O 0.2300 0.2500 0.6250

* crystal system: tetragonal
* total moment: 20.45 μB/cell
* calculated volume: 210 Å³/cell
* density of states at the Fermi level: 3.6 states/eV per cell
* excess energy over the best structure of this formula in the dataset: 560 meV per atom
* E_tot: -7.192 eV per atom